Here is an optimized crystal structure of MnCrPb2 from Alexandria via LeMat-Bulk. Energies are from PBE.

M_tot in μB per cell: 0.2
D(E_F) in states/eV per cell: 4.2
E_form in eV/atom: 0.32
Energy above the lowest structure with this stoichiometry in meV per atom: 0

Lattice parameters (Å, degrees): 3.267 3.267 8.333 90.00 90.00 90.00
Fractional coordinates of all 4 atoms:
Pb1 0.500 0.500 0.313
Mn1 0.500 0.500 0.690
Pb2 0.000 0.000 0.934
Cr1 0.000 0.000 0.563